Record 1
# TiFe3Pt PBE-GGA optimized geometry
# Size of the total moment (μB per formula unit): 5.788
# Energy relative to the lowest polymorph listed for this composition (meV per atom): 0.0
# DOS(E_F) (states/eV per cell): 5.7
# ΔH_f (0 K) (meV per atom): 1003
data_TiFe3Pt
_symmetry_space_group_name_H-M 'P m -3 m'
_symmetry_Int_Tables_number 221
_symmetry_space_group_name_Hall '-P 4 2 3'
_cell_length_a 4.238
_cell_length_b 4.238
_cell_length_c 4.238
_cell_angle_alpha 90.00
_cell_angle_beta 90.00
_cell_angle_gamma 90.00
loop_
_atom_site_label
_atom_site_type_symbol
_atom_site_fract_x
_atom_site_fract_y
_atom_site_fract_z
Ti1 Ti 0.000 0.000 0.000
Fe1 Fe 0.000 0.000 0.500
Pt1 Pt 0.500 0.500 0.500

Record 2
# Pm6Nd5 PBE-GGA optimized geometry
# Size of the total moment (μB per formula unit): 0.000
# Energy relative to the lowest polymorph listed for this composition (meV per atom): 24.1
# DOS(E_F) (states/eV per cell): 27.2
# ΔH_f (0 K) (meV per atom): 130
data_Pm6Nd5
_symmetry_space_group_name_H-M 'C 1 2/m 1'
_symmetry_Int_Tables_number 12
_cell_length_a 9.407
_cell_length_b 13.443
_cell_length_c 6.493
_cell_angle_alpha 90.00
_cell_angle_beta 108.72
_cell_angle_gamma 90.00
loop_
_symmetry_equiv_pos_as_xyz
'x,y,z'
'-x,-y,-z'
'-x,y,-z'
'x,-y,z'
'x+1/2,y+1/2,z'
'-x+1/2,-y+1/2,-z'
'-x+1/2,y+1/2,-z'
'x+1/2,-y+1/2,z'
loop_
_atom_site_label
_atom_site_type_symbol
_atom_site_fract_x
_atom_site_fract_y
_atom_site_fract_z
Pm1 Pm 0.170 0.000 0.181
Pm2 Pm 0.178 0.132 0.668
Nd1 Nd 0.000 0.240 0.000
Nd2 Nd 0.000 0.371 0.500
Nd3 Nd 0.000 0.500 0.000

Record 3
# Y2OF PBE-GGA optimized geometry
# Size of the total moment (μB per formula unit): 0.004
# Energy relative to the lowest polymorph listed for this composition (meV per atom): 454.4
# DOS(E_F) (states/eV per cell): 3.1
data_Y2OF
_symmetry_space_group_name_H-M 'P 4/m m m'
_symmetry_Int_Tables_number 123
_symmetry_space_group_name_Hall '-P 4 2'
_cell_length_a 3.725
_cell_length_b 3.725
_cell_length_c 8.531
_cell_angle_alpha 90.00
_cell_angle_beta 90.00
_cell_angle_gamma 90.00
loop_
_atom_site_label
_atom_site_type_symbol
_atom_site_fract_x
_atom_site_fract_y
_atom_site_fract_z
Y1 Y 0.000 0.000 0.238
O1 O 0.000 0.000 0.000
F1 F 0.000 0.000 0.500

Record 4
# LiB2C2 PBE-GGA optimized geometry
# Size of the total moment (μB per formula unit): 0.000
# Energy relative to the lowest polymorph listed for this composition (meV per atom): 45.1
# DOS(E_F) (states/eV per cell): 7.3
# ΔH_f (0 K) (meV per atom): -25
data_LiB2C2
_symmetry_space_group_name_H-M 'C 1 m 1'
_symmetry_Int_Tables_number 8
_cell_length_a 14.061
_cell_length_b 2.705
_cell_length_c 8.631
_cell_angle_alpha 90.00
_cell_angle_beta 122.42
_cell_angle_gamma 90.00
loop_
_symmetry_equiv_pos_as_xyz
'x,y,z'
'x,-y,z'
'x+1/2,y+1/2,z'
'x+1/2,-y+1/2,z'
loop_
_atom_site_label
_atom_site_type_symbol
_atom_site_fract_x
_atom_site_fract_y
_atom_site_fract_z
Li1 Li 0.000 0.000 0.000
Li2 Li 0.004 0.500 0.492
Li3 Li 0.317 0.500 0.503
B1 B 0.021 0.000 0.741
B2 B 0.131 0.500 0.255
B3 B 0.190 0.500 0.747
B4 B 0.300 0.000 0.259
B5 B 0.357 0.000 0.756
B6 B 0.457 0.500 0.233
C1 C 0.013 0.500 0.231
C2 C 0.130 0.000 0.736
C3 C 0.190 0.000 0.262
C4 C 0.303 0.500 0.758
C5 C 0.357 0.500 0.263
C6 C 0.465 0.000 0.744